This record from Alexandria via LeMat-Bulk describes crystalline Th8GeOs3S4 at its relaxed geometry. The functional is PBE-GGA. Values from VASP.

Geometry as Quantum ESPRESSO input:
```
&SYSTEM
  ibrav = 0, nat = 16, ntyp = 4
/
ATOMIC_SPECIES
Th 232.04 Th.upf
Ge 72.64 Ge.upf
Os 190.23 Os.upf
S 32.06 S.upf
CELL_PARAMETERS angstrom
4.136 2.388 6.974
-4.136 2.388 6.974
0.000 -4.776 6.974
ATOMIC_POSITIONS crystal
Th 0.232 0.751 0.751
Th 0.243 0.243 0.243
Th 0.249 0.249 0.768
Th 0.249 0.768 0.249
Th 0.751 0.232 0.751
Th 0.751 0.751 0.232
Th 0.757 0.757 0.757
Th 0.768 0.249 0.249
Ge 0.500 0.500 0.500
Os 0.000 0.000 0.500
Os 0.000 0.500 0.000
Os 0.500 0.000 0.000
S 0.000 0.000 0.000
S 0.000 0.500 0.500
S 0.500 0.000 0.500
S 0.500 0.500 0.000
```

Calculated values
As for the crystal system: trigonal. For the raw formation energy, the calculation gives -1.085 eV/atom. As for the total magnetization: 0.000 Bohr magnetons per cell. The value obtained for the electronic total energy is -131.54 eV per cell.

***

This record from Alexandria via LeMat-Bulk describes crystalline CdTc at its relaxed geometry. The functional is PBE-GGA. Values from VASP.

Geometry as Quantum ESPRESSO input:
```
&SYSTEM
  ibrav = 0, nat = 2, ntyp = 2
/
ATOMIC_SPECIES
Cd 112.41 Cd.upf
Tc 98.00 Tc.upf
CELL_PARAMETERS angstrom
0.000 3.104 3.104
3.104 0.000 3.104
3.104 3.104 0.000
ATOMIC_POSITIONS crystal
Cd 0.000 0.000 0.000
Tc 0.750 0.750 0.750
```

Calculated values
As for the crystal system: cubic. The relative energy among the computed polymorphs is 401 kJ/mol of formula units. The formation energy comes out at 2.191 eV/atom. As for the total magnetization: 3.008 Bohr magnetons per cell. The value obtained for the electronic total energy is -6.90 eV per cell.

***

This record from Alexandria via LeMat-Bulk describes crystalline Tc2NiPb at its relaxed geometry. The functional is PBE-GGA. Values from VASP.

Geometry as Quantum ESPRESSO input:
```
&SYSTEM
  ibrav = 0, nat = 4, ntyp = 3
/
ATOMIC_SPECIES
Tc 98.00 Tc.upf
Ni 58.69 Ni.upf
Pb 207.20 Pb.upf
CELL_PARAMETERS angstrom
0.000 3.165 3.165
3.165 0.000 3.165
3.165 3.165 0.000
ATOMIC_POSITIONS crystal
Tc 0.000 0.000 0.000
Tc 0.250 0.250 0.250
Ni 0.500 0.500 0.500
Pb 0.750 0.750 0.750
```

Calculated values
As for the crystal system: cubic. The formation energy comes out at 0.553 eV/atom. As for the total magnetization: 0.000 Bohr magnetons per cell. The value obtained for the electronic total energy is -28.01 eV per cell.

***

This record from Alexandria via LeMat-Bulk describes crystalline ZnRuCl2 at its relaxed geometry. The functional is PBE-GGA. Values from VASP.

Geometry as Quantum ESPRESSO input:
```
&SYSTEM
  ibrav = 0, nat = 4, ntyp = 3
/
ATOMIC_SPECIES
Zn 65.41 Zn.upf
Ru 101.07 Ru.upf
Cl 35.45 Cl.upf
CELL_PARAMETERS angstrom
1.610 -2.876 0.000
1.610 2.876 0.000
0.000 0.000 9.010
ATOMIC_POSITIONS crystal
Zn 0.000 0.000 0.000
Ru 0.500 0.500 0.769
Cl 0.000 0.000 0.583
Cl 0.500 0.500 0.185
```

Calculated values
As for the crystal system: orthorhombic. The relative energy among the computed polymorphs is 82 kJ/mol of formula units. For the raw formation energy, the calculation gives -0.060 eV/atom. As for the total magnetization: 1.335 Bohr magnetons per cell. The value obtained for the electronic total energy is -14.48 eV per cell.

***

Look up the electronic total energy of the second one. -6.90 eV per cell